# PBE UMoIr, optimized geometry
# crystal system = cubic
# energy of formation from the pure elements = 0.324 eV per atom
# E above lowest polymorph = 0 meV per atom
data_UMoIr
_chemical_formula_sum 'U4 Mo4 Ir4'
_space_group_name_H-M_alt 'F -4 3 m'
_space_group_IT_number 216
_space_group_name_Hall 'F -4 2 3'
_cell_length_a 6.222
_cell_length_b 6.222
_cell_length_c 6.222
_cell_angle_alpha 90.00
_cell_angle_beta 90.00
_cell_angle_gamma 90.00
loop_
_atom_site_label
_atom_site_fract_x
_atom_site_fract_y
_atom_site_fract_z
_atom_site_occupancy
U1 0.000 0.000 0.000 1
Mo1 0.250 0.250 0.750 1
Ir1 0.000 0.000 0.500 1